Entry 1:
PmNd2Er4Th | GGA-PBE | relaxed

Unit cell a=5.099 b=5.113 c=9.926 alpha=90.00 beta=90.00 gamma=90.00
Space group Pmmm (No. 47)
Inequivalent atoms, fractional coordinates:
Pm  0.000  0.000  0.000
Nd  0.000  0.000  0.500
Nd  0.500  0.500  0.000
Er  0.000  0.500  0.255
Er  0.500  0.000  0.255
Th  0.500  0.500  0.500

Total DFT energy (no corrections) ... -4.966 eV per atom
DFT formation energy ... 0.028 eV/atom

=====

Entry 2:
Tb2ErPb2 | GGA-PBE | relaxed

Unit cell a=5.021 b=18.294 c=6.537 alpha=90.00 beta=90.00 gamma=90.00
Space group Cmcm (No. 63)
Inequivalent atoms, fractional coordinates:
Tb  0.000  0.000  0.000
Tb  0.000  0.190  0.250
Er  0.000  0.395  0.250
Pb  0.000  0.195  0.750
Pb  0.000  0.424  0.750

Total DFT energy (no corrections) ... -4.694 eV per atom
DFT formation energy ... -0.446 eV/atom

=====

Entry 3:
NiC3Br | GGA-PBE | relaxed

Unit cell a=3.862 b=3.862 c=3.862 alpha=90.00 beta=90.00 gamma=90.00
Space group Pm-3m (No. 221)
Inequivalent atoms, fractional coordinates:
Ni  0.000  0.000  0.000
C  0.000  0.500  0.500
Br  0.500  0.500  0.500

Energy above the lowest structure with this stoichiometry ... 1065 meV/atom
Total DFT energy (no corrections) ... -3.359 eV per atom

=====

Entry 4:
LiRu3 | GGA-PBE | relaxed

Unit cell a=2.744 b=4.516 c=9.140 alpha=90.00 beta=90.00 gamma=90.00
Space group Cmmm (No. 65)
Inequivalent atoms, fractional coordinates:
Li  0.000  0.000  0.000
Ru  0.000  0.000  0.500
Ru  0.000  0.500  0.252

Total DFT energy (no corrections) ... -7.071 eV per atom
DFT formation energy ... 0.364 eV/atom

=====

Entry 5:
PmBe17Os | GGA-PBE | relaxed

Unit cell a=7.5364 b=7.5364 c=10.9368 alpha=90.00 beta=90.00 gamma=120.00
Space group R3m (No. 160, hexagonal axes)
Inequivalent atoms, fractional coordinates:
Pm  0.0000  0.0000  0.0000
Be  0.0000  0.0000  0.5568
Be  0.0000  0.0000  0.7479
Be  0.0470  0.3703  0.3245
Be  0.1685  0.3369  0.4916
Be  0.1730  0.3459  0.8374
Be  0.1767  0.3533  0.1428
Os  0.0000  0.0000  0.3360

Total DFT energy (no corrections) ... -4.218 eV per atom
DFT formation energy ... -0.043 eV/atom

=====

Entry 6:
YZrBi2O6 | GGA-PBE | relaxed

Unit cell a=5.935 b=5.937 c=5.938 alpha=61.43 beta=61.47 gamma=61.47
Space group P1 (No. 1)
Inequivalent atoms, fractional coordinates:
Y  0.000  0.000  0.000
Zr  0.517  0.517  0.517
Bi  0.291  0.291  0.291
Bi  0.754  0.755  0.754
O  0.159  0.366  0.700
O  0.250  0.853  0.635
O  0.366  0.700  0.159
O  0.634  0.249  0.854
O  0.700  0.159  0.366
O  0.854  0.634  0.251

Total DFT energy (no corrections) ... -7.486 eV per atom